## w
A geometry-optimized YTeMo3 structure, computed with PBE-GGA.

Structure (CIF):
```
data_YTeMo3
_cell_length_a 4.9084
_cell_length_b 4.9084
_cell_length_c 4.9084
_cell_angle_alpha 90.00
_cell_angle_beta 90.00
_cell_angle_gamma 90.00
_symmetry_space_group_name_H-M 'P m -3 m'
_symmetry_Int_Tables_number 221
_symmetry_space_group_name_Hall '-P 4 2 3'
loop_
_atom_site_label
_atom_site_fract_x
_atom_site_fract_y
_atom_site_fract_z
Y1 0.0000 0.0000 0.0000
Te1 0.5000 0.5000 0.5000
Mo1 0.0000 0.0000 0.5000
```

Calculated values
As for the total magnetization: 1.30 Bohr magnetons per cell. The value obtained for the density of states at the Fermi level is 1.4603 states/eV per atom.

***

## x
A geometry-optimized YTeMo3 structure, computed with PBE-GGA.

Structure (CIF):
```
data_YTeMo3
_cell_length_a 4.9310
_cell_length_b 4.9310
_cell_length_c 4.9310
_cell_angle_alpha 90.00
_cell_angle_beta 90.00
_cell_angle_gamma 90.00
_symmetry_space_group_name_H-M 'P m -3 m'
_symmetry_Int_Tables_number 221
_symmetry_space_group_name_Hall '-P 4 2 3'
loop_
_atom_site_label
_atom_site_fract_x
_atom_site_fract_y
_atom_site_fract_z
Y1 0.0000 0.0000 0.0000
Te1 0.5000 0.5000 0.5000
Mo1 0.0000 0.5000 0.5000
```

Calculated values
As for the total magnetization: 0.00 Bohr magnetons per cell. The value obtained for the density of states at the Fermi level is 1.4517 states/eV per atom.

***

Least stable of them? w.

***

## w
A geometry-optimized ZnTe3Mo structure, computed with PBE-GGA.

Structure (CIF):
```
data_ZnTe3Mo
_cell_length_a 5.2513
_cell_length_b 5.2513
_cell_length_c 5.2513
_cell_angle_alpha 90.00
_cell_angle_beta 90.00
_cell_angle_gamma 90.00
_symmetry_space_group_name_H-M 'P m -3 m'
_symmetry_Int_Tables_number 221
_symmetry_space_group_name_Hall '-P 4 2 3'
loop_
_atom_site_label
_atom_site_fract_x
_atom_site_fract_y
_atom_site_fract_z
Zn1 0.0000 0.0000 0.0000
Te1 0.0000 0.0000 0.5000
Mo1 0.5000 0.5000 0.5000
```

Calculated values
As for the total magnetization: 3.43 Bohr magnetons per cell. The value obtained for the density of states at the Fermi level is 0.9467 states/eV per atom.

***

## x
A geometry-optimized ZnTe3Mo structure, computed with PBE-GGA.

Structure (CIF):
```
data_ZnTe3Mo
_cell_length_a 5.3367
_cell_length_b 5.3367
_cell_length_c 5.3367
_cell_angle_alpha 90.00
_cell_angle_beta 90.00
_cell_angle_gamma 90.00
_symmetry_space_group_name_H-M 'P m -3 m'
_symmetry_Int_Tables_number 221
_symmetry_space_group_name_Hall '-P 4 2 3'
loop_
_atom_site_label
_atom_site_fract_x
_atom_site_fract_y
_atom_site_fract_z
Zn1 0.0000 0.0000 0.0000
Te1 0.0000 0.5000 0.5000
Mo1 0.5000 0.5000 0.5000
```

Calculated values
As for the total magnetization: 0.00 Bohr magnetons per cell. The value obtained for the density of states at the Fermi level is 1.2551 states/eV per atom.

***

Least stable of them? w.

***

## w
A geometry-optimized Zr3TeMo structure, computed with PBE-GGA.

Structure (CIF):
```
data_Zr3TeMo
_cell_length_a 5.2105
_cell_length_b 5.2105
_cell_length_c 5.2105
_cell_angle_alpha 90.00
_cell_angle_beta 90.00
_cell_angle_gamma 90.00
_symmetry_space_group_name_H-M 'P m -3 m'
_symmetry_Int_Tables_number 221
_symmetry_space_group_name_Hall '-P 4 2 3'
loop_
_atom_site_label
_atom_site_fract_x
_atom_site_fract_y
_atom_site_fract_z
Zr1 0.0000 0.0000 0.5000
Te1 0.0000 0.0000 0.0000
Mo1 0.5000 0.5000 0.5000
```

Calculated values
As for the total magnetization: 2.48 Bohr magnetons per cell. The value obtained for the density of states at the Fermi level is 1.1314 states/eV per atom.

***

## x
A geometry-optimized Zr3TeMo structure, computed with PBE-GGA.

Structure (CIF):
```
data_Zr3TeMo
_cell_length_a 5.0654
_cell_length_b 5.0654
_cell_length_c 5.0654
_cell_angle_alpha 90.00
_cell_angle_beta 90.00
_cell_angle_gamma 90.00
_symmetry_space_group_name_H-M 'P m -3 m'
_symmetry_Int_Tables_number 221
_symmetry_space_group_name_Hall '-P 4 2 3'
loop_
_atom_site_label
_atom_site_fract_x
_atom_site_fract_y
_atom_site_fract_z
Zr1 0.0000 0.0000 0.5000
Te1 0.5000 0.5000 0.5000
Mo1 0.0000 0.0000 0.0000
```

Calculated values
As for the total magnetization: 0.00 Bohr magnetons per cell. The value obtained for the density of states at the Fermi level is 1.5940 states/eV per atom.

***

Least stable of them? w.

***

## w
A geometry-optimized Th3Mo structure, computed with PBE-GGA.

Structure (CIF):
```
data_Th3Mo
_cell_length_a 3.6738
_cell_length_b 10.6528
_cell_length_c 5.7256
_cell_angle_alpha 90.00
_cell_angle_beta 90.00
_cell_angle_gamma 90.00
_symmetry_space_group_name_H-M 'I m m 2'
_symmetry_Int_Tables_number 44
loop_
_symmetry_equiv_pos_as_xyz
'x,y,z'
'-x,-y,z'
'-x,y,z'
'x,-y,z'
'x+1/2,y+1/2,z+1/2'
'-x+1/2,-y+1/2,z+1/2'
'-x+1/2,y+1/2,z+1/2'
'x+1/2,-y+1/2,z+1/2'
loop_
_atom_site_label
_atom_site_fract_x
_atom_site_fract_y
_atom_site_fract_z
Th1 0.0000 0.0000 0.0000
Th2 0.0000 0.2144 0.4988
Mo1 0.0000 0.5000 0.9603
```

Calculated values
As for the total magnetization: 0.00 Bohr magnetons per cell. The value obtained for the density of states at the Fermi level is 1.4719 states/eV per atom.

***

## x
A geometry-optimized Th3Mo structure, computed with PBE-GGA.

Structure (CIF):
```
data_Th3Mo
_cell_length_a 6.6119
_cell_length_b 6.6119
_cell_length_c 5.7704
_cell_angle_alpha 90.00
_cell_angle_beta 90.00
_cell_angle_gamma 120.00
_symmetry_space_group_name_H-M 'P 63/m m c'
_symmetry_Int_Tables_number 194
_symmetry_space_group_name_Hall '-P 6c 2c'
loop_
_atom_site_label
_atom_site_fract_x
_atom_site_fract_y
_atom_site_fract_z
Th1 0.1755 0.3511 0.2500
Mo1 0.3333 0.6667 0.7500
```

Calculated values
As for the total magnetization: 0.00 Bohr magnetons per cell. The value obtained for the density of states at the Fermi level is 1.3520 states/eV per atom.

***

Least stable of them? x.

***

## w
A geometry-optimized ThTi2Mo structure, computed with PBE-GGA.

Structure (CIF):
```
data_ThTi2Mo
_cell_length_a 3.1248
_cell_length_b 3.1248
_cell_length_c 29.4622
_cell_angle_alpha 90.00
_cell_angle_beta 90.00
_cell_angle_gamma 120.00
_symmetry_space_group_name_H-M 'R -3 m'
_symmetry_Int_Tables_number 166
_symmetry_space_group_name_Hall '-R 3 2"'
loop_
_atom_site_label
_atom_site_fract_x
_atom_site_fract_y
_atom_site_fract_z
Th1 0.0000 0.0000 0.0000
Ti1 0.0000 0.0000 0.1018
Mo1 0.0000 0.0000 0.5000
```

Calculated values
As for the total magnetization: 0.00 Bohr magnetons per cell. The value obtained for the density of states at the Fermi level is 1.1449 states/eV per atom.

***

## x
A geometry-optimized ThTi2Mo structure, computed with PBE-GGA.

Structure (CIF):
```
data_ThTi2Mo
_cell_length_a 3.2633
_cell_length_b 3.2633
_cell_length_c 7.6405
_cell_angle_alpha 90.00
_cell_angle_beta 90.00
_cell_angle_gamma 90.00
_symmetry_space_group_name_H-M 'P 4/m m m'
_symmetry_Int_Tables_number 123
_symmetry_space_group_name_Hall '-P 4 2'
loop_
_atom_site_label
_atom_site_fract_x
_atom_site_fract_y
_atom_site_fract_z
Th1 0.0000 0.0000 0.0000
Ti1 0.5000 0.5000 0.3126
Mo1 0.0000 0.0000 0.5000
```

Calculated values
As for the total magnetization: 0.00 Bohr magnetons per cell. The value obtained for the density of states at the Fermi level is 1.2194 states/eV per atom.

***

Least stable of them? w.

***

## w
A geometry-optimized Th2TlMo structure, computed with PBE-GGA.

Structure (CIF):
```
data_Th2TlMo
_cell_length_a 3.5009
_cell_length_b 3.5009
_cell_length_c 33.3366
_cell_angle_alpha 90.00
_cell_angle_beta 90.00
_cell_angle_gamma 120.00
_symmetry_space_group_name_H-M 'R -3 m'
_symmetry_Int_Tables_number 166
_symmetry_space_group_name_Hall '-R 3 2"'
loop_
_atom_site_label
_atom_site_fract_x
_atom_site_fract_y
_atom_site_fract_z
Th1 0.0000 0.0000 0.1011
Tl1 0.0000 0.0000 0.0000
Mo1 0.0000 0.0000 0.5000
```

Calculated values
As for the total magnetization: 0.00 Bohr magnetons per cell. The value obtained for the density of states at the Fermi level is 1.3644 states/eV per atom.

***

## x
A geometry-optimized Th2TlMo structure, computed with PBE-GGA.

Structure (CIF):
```
data_Th2TlMo
_cell_length_a 3.5432
_cell_length_b 3.5432
_cell_length_c 8.7496
_cell_angle_alpha 90.00
_cell_angle_beta 90.00
_cell_angle_gamma 90.00
_symmetry_space_group_name_H-M 'P 4/m m m'
_symmetry_Int_Tables_number 123
_symmetry_space_group_name_Hall '-P 4 2'
loop_
_atom_site_label
_atom_site_fract_x
_atom_site_fract_y
_atom_site_fract_z
Th1 0.0000 0.0000 0.2020
Tl1 0.5000 0.5000 0.5000
Mo1 0.5000 0.5000 0.0000
```

Calculated values
As for the total magnetization: 0.00 Bohr magnetons per cell. The value obtained for the density of states at the Fermi level is 1.0807 states/eV per atom.

***

Least stable of them? w.